Compound: Sc2MnRu
Source: Alexandria via LeMat-Bulk
Functional: PBE
Structure: relaxed

## Properties
Formation energy: -1.09 eV/f.u.
Magnetization: 2.85 μB/cell
Fermi-level density of states: 3.220 states/eV/f.u.
V: 68.99 Å³ per cell
Space group: P4/mmm, No. 123

a b c (Å): 3.265 3.265 6.473
angles (deg): 90.00 90.00 90.00
Element x y z (fractional)
Sc1 0.000 0.000 0.238
Sc2 0.000 0.000 0.762
Mn1 0.500 0.500 0.500
Ru1 0.500 0.500 0.000